LiAlIn after structural relaxation. Source: Alexandria via LeMat-Bulk, functional PBE.

Summary:
calculated volume = 117.0 Å³/cell
theoretical density = 4.22 g/cm3
DFT total energy = -2.860 eV/atom
ΔH_f (0 K) = -18 kJ/mol of formula units
relative energy among the computed polymorphs = 0.052 eV per atom

a b c (Å): 3.113 4.280 8.782
angles (deg): 90.00 90.00 90.00
Space group Imm2 (No. 44)
One atom of each set of equivalent atoms:
Li: 0.000 0.000 0.000 (multiplicity 2)
Al: 0.000 0.000 0.666 (multiplicity 2)
In: 0.000 0.000 0.330 (multiplicity 2)